[1]
Crystalline K2HgRhN at its relaxed geometry. Source: Alexandria via LeMat-Bulk, functional PBE.

a = 5.9504 Å, b = 5.9504 Å, c = 3.7441 Å
α = 90.00°, β = 90.00°, γ = 90.00°
Closest atoms and distances in Å follow each position.
Space group P4/mmm (No. 123)
Symmetry-distinct sites (fractional):
K: 0.0000 0.5000 0.0000 [2 per cell]  2 N 2.98
Hg: 0.0000 0.0000 0.5000 [1 per cell]  8 K 3.52, 2 Hg 3.74
Rh: 0.5000 0.5000 0.5000 [1 per cell]  2 N 1.87
N: 0.5000 0.5000 0.0000 [1 per cell]  2 Rh 1.87

Values from the calculation:
energy relative to the elements, uncorrected = -0.06 eV/atom

---

[2]
Crystalline Zr2SbRh2 at its relaxed geometry. Source: Alexandria via LeMat-Bulk, functional PBE.

a = 4.5613 Å, b = 4.5613 Å, c = 10.3945 Å
α = 90.00°, β = 90.00°, γ = 90.00°
Closest atoms and distances in Å follow each position.
Space group I4/mmm (No. 139)
Symmetry-distinct sites (fractional):
Zr: 0.0000 0.5000 0.2500 [4 per cell]  4 Rh 2.65
Sb: 0.0000 0.0000 0.0000 [2 per cell]  8 Zr 3.46, 8 Rh 3.46
Rh: 0.0000 0.0000 0.3800 [4 per cell]  1 Rh 2.50, 4 Zr 2.65

Values from the calculation:
energy relative to the elements, uncorrected = -0.44 eV/atom
energy above the lowest structure with this stoichiometry = 297.6 meV/atom

---

[3]
Crystalline Pr2Y2Bi5 at its relaxed geometry. Source: Alexandria via LeMat-Bulk, functional PBE.

a = 16.3788 Å, b = 8.3589 Å, c = 8.5424 Å
α = 90.00°, β = 90.00°, γ = 90.00°
Closest atoms and distances in Å follow each position.
Space group Cmce (No. 64)
Symmetry-distinct sites (fractional):
Pr: 0.1929 0.0000 0.0000 [8 per cell]  7 Bi 3.16-3.38
Y: 0.0000 0.1546 0.3411 [8 per cell]  8 Bi 3.19-3.45
Bi: 0.0000 0.0000 0.0000 [4 per cell]  2 Pr 3.16, 4 Y 3.19
Bi: 0.1363 0.1489 0.6487 [16 per cell]  3 Y 3.22-3.45, 3 Pr 3.32-3.38, 1 Bi 3.56

Values from the calculation:
E_tot = -192.7 eV/cell

---

[4]
Crystalline K2SbBr at its relaxed geometry. Source: Alexandria via LeMat-Bulk, functional PBE.

a = 4.8716 Å, b = 4.8716 Å, c = 14.0217 Å
α = 90.00°, β = 90.00°, γ = 90.00°
Closest atoms and distances in Å follow each position.
Space group I-4m2 (No. 119)
Symmetry-distinct sites (fractional):
K: 0.0000 0.0000 0.0000 [2 per cell]  4 Br 3.44
K: 0.0000 0.5000 0.2500 [2 per cell]  4 Sb 3.44
Sb: 0.0000 0.5000 0.7500 [2 per cell]  4 K 3.44
Br: 0.0000 0.0000 0.5000 [2 per cell]  4 K 3.44

Values from the calculation:
energy relative to the elements, uncorrected = -0.58 eV/atom
energy above the lowest structure with this stoichiometry = 329.6 meV/atom

---

[5]
Crystalline Ga2Ni7Sn2Sb at its relaxed geometry. Source: Alexandria via LeMat-Bulk, functional PBE.

a = 5.0634 Å, b = 5.0568 Å, c = 14.8243 Å
α = 90.00°, β = 95.11°, γ = 90.00°
Closest atoms and distances in Å follow each position.
Space group C2/m (No. 12)
Symmetry-distinct sites (fractional):
Ga: 0.1248 0.0000 0.4174 [4 per cell]  5 Ni 2.51-2.56
Ni: 0.0000 0.5000 0.0000 [2 per cell]  4 Sb 2.53, 8 Ni 2.62-2.64
Ni: 0.1232 0.5000 0.4279 [4 per cell]  5 Ga 2.51-2.56, 1 Sn 2.53, 1 Ni 2.57
Ni: 0.2119 0.2507 0.8695 [8 per cell]  6 Ni 2.52-2.64, 2 Sn 2.58-2.59, 2 Sb 2.62-2.64
Sn: 0.0736 0.5000 0.2566 [4 per cell]  5 Ni 2.53-2.59
Sb: 0.0000 0.0000 0.0000 [2 per cell]  12 Ni 2.53-2.64

Values from the calculation:
energy relative to the elements, uncorrected = -0.09 eV/atom

---

[6]
Crystalline CeCdSb at its relaxed geometry. Source: Alexandria via LeMat-Bulk, functional PBE.

a = 5.0844 Å, b = 5.0844 Å, c = 24.4793 Å
α = 90.00°, β = 90.00°, γ = 120.00°
Closest atoms and distances in Å follow each position.
Space group R-3m (No. 166, hexagonal axes)
Symmetry-distinct sites (fractional):
Ce: 0.0000 0.0000 0.0839 [6 per cell]  4 Sb 3.07-3.14
Cd: 0.0000 0.0000 0.3348 [6 per cell]  3 Cd 2.94, 1 Sb 3.00
Sb: 0.0000 0.0000 0.2121 [6 per cell]  1 Cd 3.00, 4 Ce 3.07-3.14

Values from the calculation:
energy relative to the elements, uncorrected = -0.42 eV/atom
energy above the lowest structure with this stoichiometry = 45.5 meV/atom

---

[7]
Crystalline Pu3Zr2ScP6 at its relaxed geometry. Source: Alexandria via LeMat-Bulk, functional PBE.

a = 16.8247 Å, b = 3.8671 Å, c = 7.7198 Å
α = 90.00°, β = 102.96°, γ = 90.00°
Closest atoms and distances in Å follow each position.
Space group C2/m (No. 12)
Symmetry-distinct sites (fractional):
Pu: 0.0000 0.0000 0.0000 [2 per cell]  6 P 2.77
Pu: 0.1661 0.5000 0.3347 [4 per cell]  6 P 2.77-2.78
Zr: 0.1670 0.5000 0.8346 [4 per cell]  6 P 2.69
Sc: 0.0000 0.0000 0.5000 [2 per cell]  6 P 2.69-2.70
P: 0.0033 0.5000 0.7442 [4 per cell]  1 Zr 2.69, 2 Sc 2.69, 3 Pu 2.77-2.78
P: 0.1645 0.0000 0.5915 [4 per cell]  2 Zr 2.69, 1 Sc 2.70, 3 Pu 2.77-2.78
P: 0.1689 0.0000 0.0782 [4 per cell]  3 Zr 2.69, 3 Pu 2.77-2.78

Values from the calculation:
E_tot = -229.4 eV/cell

---

[8]
Crystalline Tm2B10Os at its relaxed geometry. Source: Alexandria via LeMat-Bulk, functional PBE.

a = 5.7010 Å, b = 11.3104 Å, c = 4.1646 Å
α = 90.00°, β = 90.00°, γ = 90.00°
Closest atoms and distances in Å follow each position.
Space group Pbam (No. 55)
Symmetry-distinct sites (fractional):
Tm: 0.2295 0.1278 0.0000 [4 per cell]  20 B 2.90-3.06, 2 Os 2.97
B: 0.0590 0.3069 0.5000 [4 per cell]  4 B 1.65-1.78
B: 0.1196 0.9588 0.5000 [4 per cell]  4 B 1.65-1.77
B: 0.1324 0.8027 0.5000 [4 per cell]  5 B 1.65-1.77
B: 0.2250 0.3805 0.1993 [8 per cell]  4 B 1.66-1.78
Os: 0.0000 0.5000 0.5000 [2 per cell]  8 B 2.21-2.25

Values from the calculation:
E_tot = -185.3 eV/cell

---

[9]
Crystalline SbTe2P2 at its relaxed geometry. Source: Alexandria via LeMat-Bulk, functional PBE.

a = 3.8460 Å, b = 3.8460 Å, c = 19.1606 Å
α = 90.00°, β = 90.00°, γ = 120.00°
Closest atoms and distances in Å follow each position.
Space group P6_3/mmc (No. 194)
Symmetry-distinct sites (fractional):
Sb: 0.3333 0.6667 0.2500 [2 per cell]  6 P 2.84
Te: 0.3333 0.6667 0.5693 [4 per cell]  3 P 2.79
P: 0.0000 0.0000 0.1575 [4 per cell]  3 Te 2.79, 3 Sb 2.84

Values from the calculation:
energy relative to the elements, uncorrected = 0.25 eV/atom
energy above the lowest structure with this stoichiometry = 0.0 meV/atom

---

[10]
Crystalline In3GaO at its relaxed geometry. Source: Alexandria via LeMat-Bulk, functional PBE.

a = 4.8445 Å, b = 4.8445 Å, c = 4.8445 Å
α = 90.00°, β = 90.00°, γ = 90.00°
Closest atoms and distances in Å follow each position.
Space group Pm-3m (No. 221)
Symmetry-distinct sites (fractional):
In: 0.0000 0.0000 0.5000 [3 per cell]  2 O 2.42
Ga: 0.5000 0.5000 0.5000 [1 per cell]  12 In 3.43
O: 0.0000 0.0000 0.0000 [1 per cell]  6 In 2.42

Values from the calculation:
energy relative to the elements, uncorrected = -0.14 eV/atom
energy above the lowest structure with this stoichiometry = 0.0 meV/atom

---

[11]
Crystalline TmLu2Tl at its relaxed geometry. Source: Alexandria via LeMat-Bulk, functional PBE.

a = 7.6039 Å, b = 7.6039 Å, c = 7.6039 Å
α = 90.00°, β = 90.00°, γ = 90.00°
Closest atoms and distances in Å follow each position.
Space group Fm-3m (No. 225)
Symmetry-distinct sites (fractional):
Tm: 0.0000 0.0000 0.0000 [4 per cell]  8 Lu 3.29
Lu: 0.2500 0.2500 0.2500 [8 per cell]  4 Tl 3.29, 4 Tm 3.29
Tl: 0.0000 0.0000 0.5000 [4 per cell]  8 Lu 3.29

Values from the calculation:
energy above the lowest structure with this stoichiometry = 176.3 meV/atom

---

[12]
Crystalline BPRhC at its relaxed geometry. Source: Alexandria via LeMat-Bulk, functional PBE.

a = 6.9688 Å, b = 2.8211 Å, c = 4.9240 Å
α = 90.00°, β = 101.98°, γ = 90.00°
Closest atoms and distances in Å follow each position.
Space group Cm (No. 8)
Symmetry-distinct sites (fractional):
B: 0.0000 0.0000 0.0000 [2 per cell]  2 C 1.54
P: 0.0089 0.5000 0.5164 [2 per cell]  1 C 1.80
Rh: 0.2799 0.5000 0.2651 [2 per cell]  1 B 2.21, 3 P 2.29-2.46, 1 C 2.31
C: 0.0209 0.5000 0.8857 [2 per cell]  2 B 1.54

Values from the calculation:
energy above the lowest structure with this stoichiometry = 0.0 meV/atom

---

[13]
Crystalline Pr2NdCdC at its relaxed geometry. Source: Alexandria via LeMat-Bulk, functional PBE.

a = 5.1829 Å, b = 5.1829 Å, c = 5.1233 Å
α = 90.00°, β = 90.00°, γ = 90.00°
Closest atoms and distances in Å follow each position.
Space group P4/mmm (No. 123)
Symmetry-distinct sites (fractional):
Pr: 0.0000 0.5000 0.0000 [2 per cell]  2 C 2.59
Nd: 0.0000 0.0000 0.5000 [1 per cell]  2 C 2.56
Cd: 0.5000 0.5000 0.5000 [1 per cell]  8 Pr 3.64, 4 Nd 3.66
C: 0.0000 0.0000 0.0000 [1 per cell]  2 Nd 2.56, 4 Pr 2.59

Values from the calculation:
E_tot = -25.1 eV/cell

---

[14]
Crystalline CsHf3Si at its relaxed geometry. Source: Alexandria via LeMat-Bulk, functional PBE.

a = 5.1956 Å, b = 5.1956 Å, c = 5.1956 Å
α = 90.00°, β = 90.00°, γ = 90.00°
Closest atoms and distances in Å follow each position.
Space group Pm-3m (No. 221)
Symmetry-distinct sites (fractional):
Cs: 0.0000 0.0000 0.0000 [1 per cell]  6 Hf 2.60
Hf: 0.0000 0.0000 0.5000 [3 per cell]  2 Cs 2.60
Si: 0.5000 0.5000 0.5000 [1 per cell]  12 Hf 3.67

Values from the calculation:
energy relative to the elements, uncorrected = 2.54 eV/atom
energy above the lowest structure with this stoichiometry = 1636.5 meV/atom

---

[15]
Crystalline NdSm2Tl2Hg2 at its relaxed geometry. Source: Alexandria via LeMat-Bulk, functional PBE.

a = 5.0402 Å, b = 5.0402 Å, c = 27.2119 Å
α = 90.00°, β = 90.00°, γ = 120.00°
Closest atoms and distances in Å follow each position.
Space group R-3m (No. 166, hexagonal axes)
Symmetry-distinct sites (fractional):
Nd: 0.0000 0.0000 0.0000 [3 per cell]  6 Tl 3.35, 2 Sm 3.64
Sm: 0.0000 0.0000 0.1336 [6 per cell]  3 Hg 3.05
Tl: 0.0000 0.0000 0.2722 [6 per cell]  3 Hg 3.10, 3 Nd 3.35
Hg: 0.0000 0.0000 0.4333 [6 per cell]  3 Sm 3.05, 3 Tl 3.10

Values from the calculation:
E_tot = -63.4 eV/cell

---

[16]
Crystalline NdEr14Tm at its relaxed geometry. Source: Alexandria via LeMat-Bulk, functional PBE.

a = 11.3528 Å, b = 7.0674 Å, c = 12.2366 Å
α = 90.00°, β = 90.00°, γ = 90.00°
Closest atoms and distances in Å follow each position.
Space group Amm2 (No. 38)
Symmetry-distinct sites (fractional):
Nd: 0.0000 0.0000 0.0000 [2 per cell]  10 Er 3.52-3.54, 2 Tm 3.53
Er: 0.0000 0.2499 0.2498 [4 per cell]  8 Er 3.49-3.53, 2 Nd 3.53-3.54, 2 Tm 3.53
Er: 0.2498 0.0000 0.6667 [4 per cell]  11 Er 3.49-3.53, 1 Tm 3.49
Er: 0.2523 0.0000 0.1672 [4 per cell]  11 Er 3.47-3.54, 1 Nd 3.52
Er: 0.2520 0.2495 0.4166 [8 per cell]  10 Er 3.47-3.54, 1 Tm 3.51, 1 Nd 3.52
Er: 0.5000 0.0000 0.3338 [2 per cell]  12 Er 3.47-3.53
Er: 0.5000 0.0000 0.8335 [2 per cell]  12 Er 3.48-3.54
Er: 0.5000 0.2503 0.0838 [4 per cell]  12 Er 3.48-3.54
Tm: 0.0000 0.0000 0.4998 [2 per cell]  10 Er 3.49-3.53, 2 Nd 3.53

Values from the calculation:
E_tot = -146.0 eV/cell

---

[17]
Crystalline La4Pr2Ru at its relaxed geometry. Source: Alexandria via LeMat-Bulk, functional PBE.

a = 5.3529 Å, b = 5.3529 Å, c = 18.2060 Å
α = 90.00°, β = 90.00°, γ = 90.00°
Closest atoms and distances in Å follow each position.
Space group I4/mmm (No. 139)
Symmetry-distinct sites (fractional):
La: 0.0000 0.0000 0.1599 [4 per cell]  1 Ru 2.91
La: 0.0000 0.5000 0.0000 [4 per cell]  2 Ru 2.68
Pr: 0.0000 0.0000 0.3399 [4 per cell]  1 La 3.28
Ru: 0.0000 0.0000 0.0000 [2 per cell]  6 La 2.68-2.91

Values from the calculation:
E_tot = -74.9 eV/cell

---

[18]
Crystalline Cd3In4Hg at its relaxed geometry. Source: Alexandria via LeMat-Bulk, functional PBE.

a = 13.4126 Å, b = 5.6963 Å, c = 5.7744 Å
α = 90.00°, β = 109.84°, γ = 90.00°
Closest atoms and distances in Å follow each position.
Space group C2/m (No. 12)
Symmetry-distinct sites (fractional):
Cd: 0.0000 0.0000 0.0000 [2 per cell]  2 Cd 3.07, 6 In 3.17-3.27
Cd: 0.1198 0.0000 0.6313 [4 per cell]  2 Cd 3.05-3.07, 4 In 3.14-3.30, 2 Hg 3.23
In: 0.1272 0.5000 0.1149 [4 per cell]  5 In 3.19-3.38, 3 Cd 3.21-3.27, 2 Hg 3.23-3.38
In: 0.2488 0.0000 0.2681 [4 per cell]  5 Cd 3.14-3.49, 1 Hg 3.18, 4 In 3.19-3.38
Hg: 0.0000 0.5000 0.5000 [2 per cell]  6 In 3.18-3.38, 4 Cd 3.23

Values from the calculation:
energy above the lowest structure with this stoichiometry = 16.5 meV/atom

---

[19]
Crystalline BaSrTeN2 at its relaxed geometry. Source: Alexandria via LeMat-Bulk, functional PBE.

a = 4.8358 Å, b = 4.8358 Å, c = 7.0010 Å
α = 90.00°, β = 90.00°, γ = 90.00°
Closest atoms and distances in Å follow each position.
Space group P4/mmm (No. 123)
Symmetry-distinct sites (fractional):
Ba: 0.0000 0.0000 0.0000 [1 per cell]  4 N 2.42
Sr: 0.5000 0.5000 0.5000 [1 per cell]  4 Te 3.42
Te: 0.0000 0.0000 0.5000 [1 per cell]  4 Sr 3.42, 2 Ba 3.50
N: 0.0000 0.5000 0.0000 [2 per cell]  2 Ba 2.42

Values from the calculation:
energy relative to the elements, uncorrected = 0.62 eV/atom
energy above the lowest structure with this stoichiometry = 240.5 meV/atom

---

[20]
Crystalline Tm5CdHg6 at its relaxed geometry. Source: Alexandria via LeMat-Bulk, functional PBE.

a = 5.1573 Å, b = 15.4251 Å, c = 7.3192 Å
α = 90.00°, β = 90.00°, γ = 90.00°
Closest atoms and distances in Å follow each position.
Space group Cmmm (No. 65)
Symmetry-distinct sites (fractional):
Tm: 0.0000 0.0000 0.0000 [2 per cell]  8 Hg 3.11-3.20
Tm: 0.0000 0.3286 0.0000 [4 per cell]  8 Hg 3.11-3.19
Tm: 0.0000 0.3421 0.5000 [4 per cell]  8 Hg 3.10-3.22
Cd: 0.0000 0.0000 0.5000 [2 per cell]  8 Hg 3.14-3.21
Hg: 0.0000 0.1680 0.2571 [8 per cell]  7 Tm 3.11-3.22, 1 Cd 3.14
Hg: 0.0000 0.5000 0.2378 [4 per cell]  6 Tm 3.10-3.16, 2 Cd 3.21

Values from the calculation:
E_tot = -60.5 eV/cell